# CdTe4Rh

A geometry-optimized CdTe4Rh structure (PBE, the Alexandria database).

abc: 8.826 8.826 8.826
angles: 90.00 90.00 90.00
Space group F-43m (No. 216)
Symmetry-distinct sites (fractional):
Cd1 0.000 0.000 0.000 (multiplicity 4)
Te1 0.125 0.125 0.375 (multiplicity 16)
Rh1 0.250 0.250 0.750 (multiplicity 4)

## Properties
The calculation puts the volume at 687.4 Å³ per cell. The calculation puts the total energy at -16.19 eV/f.u. The calculation puts the uncorrected formation energy at 74.7 kJ/mol of atoms.